An optimized crystal structure of VTcH2, computed with PBE.

Cell: 2.8387 2.8387 5.0124 Å, 73.55 73.55 60.00°
With the nearest neighbours (Å) after each atom.
Sites, in units of the cell vectors:
1 V 0.4966 0.4966 0.5103  6 H 1.99
2 H 0.0834 0.0834 0.7498  3 Tc 1.94, 3 V 1.99
3 H 0.2430 0.2430 0.2710  3 V 1.99, 3 Tc 2.18
4 Tc 0.6770 0.6770 0.9690  3 H 1.94

Results
The value obtained for the energy above the most stable polymorph in this dataset is 0.226 eV per atom. The value obtained for the volume is 33 Å³ per cell.